Na2MnGeO4, relaxed, DFT PBE with a Hubbard U; space-group type = I-4 (82); energy = -46.62 eV/cell; volume = 12.767 A^3/atom
1.0
5.100 0.158 0.242
-2.030 4.681 -0.242
-2.030 -2.105 4.188
Mn O Na Ge
1 4 2 1
Direct
0.500 0.250 0.750 Mn
0.347 0.875 0.825 O
0.653 0.477 0.527 O
0.950 0.473 0.125 O
0.050 0.175 0.523 O
0.000 0.000 0.000 Na
0.500 0.750 0.250 Na
0.000 0.500 0.500 Ge